BaCdFeP: relaxed, PBE.

The space group is P4/nmm (No. 129, origin choice 2) and the conventional cell measures 3.9376, 3.9376 and 12.3545 Å, with angles of 90.00, 90.00 and 90.00 degrees. The asymmetric unit holds Ba at (0.2500, 0.2500, 0.2282), Cd at (0.2500, 0.7500, 0.5000), Fe at (0.2500, 0.7500, 0.0000) and P at (0.2500, 0.2500, 0.9131).

The crystal system is tetragonal. Its total energy is -37.92 eV/cell.